The following is a PBE calculation of an optimized crystal structure of LaMn2NiOs, from Alexandria via LeMat-Bulk.

The crystal system is tetragonal. The total DFT energy (no corrections) is -37.53 eV/cell. The calculation puts the density of states at the Fermi level at 6.73 states/eV/f.u. The formation enthalpy at 0 K comes out at 53.02 kJ per mole of atoms. As for the symmetry: P4/mmm, No. 123.

The structure in POSCAR format:
```
LaMn2NiOs
1.0
-1.236 3.137 3.256
1.479 -2.952 3.405
4.279 1.903 -0.208
Mn La Os Ni
2 1 1 1
direct
0.500 0.000 0.000
0.000 0.000 0.500
0.500 0.500 0.500
0.000 0.000 0.000
0.000 0.500 0.000
```